# 1
LiCuBO3 | PBE-GGA | optimized geometry

Unit cell a=8.0984 b=8.0984 c=3.0489 alpha=90.00 beta=90.00 gamma=120.00
Atoms (fractional coordinates):
Li  0.0182  0.2931  0.0000
Li  0.2749  0.9818  0.0000
Li  0.7069  0.7251  0.0000
Cu  0.3861  0.3724  0.5000
Cu  0.6276  0.0137  0.5000
Cu  0.9863  0.6139  0.5000
B  0.0000  0.0000  0.5000
B  0.3333  0.6667  0.0000
B  0.6667  0.3333  0.0000
O  0.0912  0.1974  0.5000
O  0.1061  0.9088  0.5000
O  0.1362  0.5779  0.0000
O  0.4221  0.5582  0.0000
O  0.4418  0.8638  0.0000
O  0.4696  0.2563  0.0000
O  0.7437  0.2133  0.0000
O  0.7867  0.5304  0.0000
O  0.8026  0.8939  0.5000

## Properties
Its density of states at the Fermi level is 1.9 states/eV/f.u. The value obtained for the energy relative to the lowest polymorph listed for this composition is 4 meV per atom.



# 2
LiCuBO3 | PBE-GGA | optimized geometry

Unit cell a=5.2408 b=5.2408 c=9.5339 alpha=91.15 beta=91.15 gamma=119.32
Atoms (fractional coordinates):
Li  0.0002  0.9998  0.0000
Li  0.9998  0.0002  0.5000
Li  0.6662  0.6820  0.7504
Li  0.6820  0.6662  0.2504
Cu  0.0186  0.3578  0.2730
Cu  0.3277  0.6723  0.0248
Cu  0.3578  0.0186  0.7730
Cu  0.6723  0.3277  0.5248
B  0.0059  0.3363  0.7779
B  0.3363  0.0059  0.2779
B  0.3397  0.6770  0.5287
B  0.6770  0.3397  0.0287
O  0.0680  0.9853  0.2864
O  0.0888  0.4181  0.4816
O  0.2680  0.5919  0.8171
O  0.3065  0.9203  0.5670
O  0.3674  0.7646  0.2331
O  0.4181  0.0888  0.9816
O  0.5919  0.2680  0.3171
O  0.6054  0.6907  0.5384
O  0.6907  0.6054  0.0384
O  0.7646  0.3674  0.7331
O  0.9203  0.3065  0.0670
O  0.9853  0.0680  0.7864

## Properties
Its density of states at the Fermi level is 0.9 states/eV/f.u. The value obtained for the energy relative to the lowest polymorph listed for this composition is 0 meV per atom.



# 3
LiCuBO3 | PBE-GGA | optimized geometry

Unit cell a=5.2547 b=5.2620 c=5.5272 alpha=90.46 beta=115.39 gamma=119.69
Atoms (fractional coordinates):
Li  0.0327  0.1066  0.2915
Li  0.9673  0.8934  0.7085
Cu  0.3435  0.7168  0.2575
Cu  0.6565  0.2832  0.7425
B  0.3243  0.5815  0.7478
B  0.6757  0.4185  0.2522
O  0.1428  0.6363  0.8441
O  0.2670  0.2955  0.7095
O  0.4607  0.1882  0.3248
O  0.5393  0.8118  0.6752
O  0.7330  0.7045  0.2905
O  0.8572  0.3637  0.1559

## Properties
Its density of states at the Fermi level is 0.6 states/eV/f.u. The value obtained for the energy relative to the lowest polymorph listed for this composition is 2 meV per atom.



# 4
Li2Cu2BPd4 | PBE-GGA | optimized geometry

Unit cell a=5.4977 b=5.4977 c=5.4977 alpha=117.42 beta=117.42 gamma=94.54
Atoms (fractional coordinates):
Li  0.2500  0.7500  0.5000
Li  0.7500  0.2500  0.5000
Cu  0.2323  0.2323  0.0000
Cu  0.7677  0.7677  0.0000
B  0.5000  0.5000  0.0000
Pd  0.2447  0.2447  0.4894
Pd  0.2447  0.7553  0.0000
Pd  0.7553  0.2447  0.0000
Pd  0.7553  0.7553  0.5106

## Properties
Its density of states at the Fermi level is 2.7 states/eV/f.u. The formation energy is -0.33 eV per atom.



# 5
LiCuBPd | PBE-GGA | optimized geometry

Unit cell a=3.9037 b=3.9037 c=3.9037 alpha=60.00 beta=60.00 gamma=60.00
Atoms (fractional coordinates):
Li  0.0000  0.0000  0.0000
Cu  0.7500  0.7500  0.7500
B  0.5000  0.5000  0.5000
Pd  0.2500  0.2500  0.2500

## Properties
Its density of states at the Fermi level is 3.0 states/eV/f.u. The formation energy is 0.05 eV per atom.



# 6
LiCu2BPd | PBE-GGA | optimized geometry

Unit cell a=3.9784 b=3.9784 c=4.1318 alpha=90.00 beta=90.00 gamma=90.00
Atoms (fractional coordinates):
Li  0.0000  0.0000  0.0000
Cu  0.0000  0.5000  0.5000
Cu  0.5000  0.0000  0.5000
B  0.5000  0.5000  0.5000
Pd  0.5000  0.5000  0.0000

## Properties
Its density of states at the Fermi level is 2.0 states/eV/f.u. The formation energy is -0.06 eV per atom.



# 7
Li3Cu2BPt3 | PBE-GGA | optimized geometry

Unit cell a=6.8595 b=6.8595 c=2.7861 alpha=90.00 beta=90.00 gamma=120.00
Atoms (fractional coordinates):
Li  0.0000  0.3866  0.0000
Li  0.3866  0.0000  0.0000
Li  0.6134  0.6134  0.0000
Cu  0.3333  0.6667  0.5000
Cu  0.6667  0.3333  0.5000
B  0.0000  0.0000  0.0000
Pt  0.0000  0.7505  0.5000
Pt  0.2495  0.2495  0.5000
Pt  0.7505  0.0000  0.5000

## Properties
Its density of states at the Fermi level is 1.5 states/eV/f.u. The formation energy is -0.42 eV per atom.



# 8
Li2CuB2Pt5 | PBE-GGA | optimized geometry

Unit cell a=9.3813 b=9.3813 c=2.9877 alpha=90.00 beta=90.00 gamma=90.00
Atoms (fractional coordinates):
Li  0.1753  0.3247  0.0000
Li  0.3247  0.8247  0.0000
Li  0.6753  0.1753  0.0000
Li  0.8247  0.6753  0.0000
Cu  0.0000  0.0000  0.0000
Cu  0.5000  0.5000  0.0000
B  0.1306  0.6306  0.0000
B  0.3694  0.1306  0.0000
B  0.6306  0.8694  0.0000
B  0.8694  0.3694  0.0000
Pt  0.0000  0.5000  0.5000
Pt  0.0718  0.7864  0.5000
Pt  0.2136  0.0718  0.5000
Pt  0.2864  0.5718  0.5000
Pt  0.4282  0.2864  0.5000
Pt  0.5000  0.0000  0.5000
Pt  0.5718  0.7136  0.5000
Pt  0.7136  0.4282  0.5000
Pt  0.7864  0.9282  0.5000
Pt  0.9282  0.2136  0.5000

## Properties
Its density of states at the Fermi level is 2.2 states/eV/f.u. The formation energy is -0.48 eV per atom.



In eV per atom, the total energy values for the records above are, in order, -6.28; -6.29; -6.29; -4.72; -4.42; -4.46; -4.73; -5.63.